A plane-wave DFT calculation with PBE with a Hubbard U was carried out for a geometry-optimized Li2VO2F structure.

Unit cell a=7.9380 b=7.9380 c=5.1992 alpha=89.46 beta=89.46 gamma=44.65
With the nearest neighbours (Å) after each atom.
Sites, in units of the cell vectors:
O 0.8253 0.8253 0.6506  3 V 2.02-2.04, 1 Li 2.16
V 0.2508 0.2508 0.0053  6 O 2.05-2.08
Li 0.4313 0.4313 0.3184  1 O 1.91, 2 F 2.09
O 0.9261 0.4272 0.8311  3 V 2.03-2.08
Li 0.2014 0.6529 0.8452  1 O 1.93, 2 F 2.11-2.13
O 0.0636 0.5813 0.1674  3 V 2.02-2.07, 1 Li 2.26
O 0.3275 0.3275 0.6746  3 V 2.04-2.05, 2 Li 2.19
F 0.2447 0.7589 0.4990  6 Li 2.02-2.13
Li 0.0767 0.0767 0.6592  3 F 2.02-2.09, 1 O 2.20
V 0.7519 0.7519 0.9864  5 O 2.02-2.04, 1 F 2.17
F 0.9998 0.9998 0.9986  6 Li 2.00-2.13
Li 0.5703 0.5703 0.7013  1 O 1.88
O 0.5000 0.5000 0.0051  6 Li 1.88-1.93
Li 0.6529 0.2014 0.8452  1 O 1.93, 2 F 2.11-2.13
V 0.4978 0.0093 0.5049  5 O 2.02-2.04, 1 F 2.17
O 0.1776 0.1776 0.3433  3 V 2.03-2.05, 1 Li 2.20
Li 0.8081 0.3251 0.1450  1 O 1.90, 2 F 2.00-2.07
Li 0.3251 0.8081 0.1450  1 O 1.90, 2 F 2.00-2.07
O 0.5813 0.0636 0.1674  3 V 2.02-2.07, 1 Li 2.26
Li 0.9227 0.9227 0.3374  3 F 2.05-2.08, 3 O 2.16-2.26
F 0.6691 0.6691 0.3348  3 V 2.17, 3 Li 2.32-2.38
V 0.0093 0.4978 0.5049  5 O 2.02-2.04, 1 F 2.17
O 0.4272 0.9261 0.8311  3 V 2.03-2.08
F 0.7589 0.2447 0.4990  6 Li 2.02-2.13

Output
Magnetization   8.000 μB/cell
Energy above the lowest structure with this stoichiometry   0.51 eV/f.u.
Volume   9.59 A^3/atom
E_tot   -0.452 Ry/atom
Crystal system   monoclinic